A relaxed structure of Be3SnRh, computed with PBE.

**ΔE to the lowest computed polymorph**: 0.00 eV per formula unit
**Total magnetic moment**: 0.0 μB per formula unit
**Crystal system**: cubic

Cell and atoms, written as CIF:
```
data_Be3SnRh
_symmetry_space_group_name_H-M 'P 1'
_symmetry_Int_Tables_number 1
_cell_length_a 4.271
_cell_length_b 4.271
_cell_length_c 4.271
_cell_angle_alpha 90.00
_cell_angle_beta 90.00
_cell_angle_gamma 90.00
loop_
_symmetry_equiv_pos_as_xyz
'x,y,z'
loop_
_atom_site_label
_atom_site_fract_x
_atom_site_fract_y
_atom_site_fract_z
_atom_site_occupancy
Be1 0.000 0.500 0.000 1
Be2 0.000 0.000 0.500 1
Be3 0.500 0.000 0.000 1
Rh1 0.000 0.000 0.000 1
Sn1 0.500 0.500 0.500 1
```


A relaxed structure of BeSnRh3, computed with PBE.

**ΔE to the lowest computed polymorph**: 0.00 eV per formula unit
**Total magnetic moment**: 0.0 μB per formula unit
**Crystal system**: cubic

Cell and atoms, written as CIF:
```
data_BeSnRh3
_symmetry_space_group_name_H-M 'P 1'
_symmetry_Int_Tables_number 1
_cell_length_a 4.188
_cell_length_b 4.188
_cell_length_c 4.188
_cell_angle_alpha 90.00
_cell_angle_beta 90.00
_cell_angle_gamma 90.00
loop_
_symmetry_equiv_pos_as_xyz
'x,y,z'
loop_
_atom_site_label
_atom_site_fract_x
_atom_site_fract_y
_atom_site_fract_z
_atom_site_occupancy
Be1 0.000 0.000 0.000 1
Rh1 0.000 0.500 0.000 1
Rh2 0.000 0.000 0.500 1
Rh3 0.500 0.000 0.000 1
Sn1 0.500 0.500 0.500 1
```


A relaxed structure of Be3SnRh, computed with PBE.

**ΔE to the lowest computed polymorph**: 5.35 eV per formula unit
**Total magnetic moment**: 0.0 μB per formula unit
**Crystal system**: cubic

Cell and atoms, written as CIF:
```
data_Be3SnRh
_symmetry_space_group_name_H-M 'P 1'
_symmetry_Int_Tables_number 1
_cell_length_a 4.406
_cell_length_b 4.406
_cell_length_c 4.406
_cell_angle_alpha 90.00
_cell_angle_beta 90.00
_cell_angle_gamma 90.00
loop_
_symmetry_equiv_pos_as_xyz
'x,y,z'
loop_
_atom_site_label
_atom_site_fract_x
_atom_site_fract_y
_atom_site_fract_z
_atom_site_occupancy
Be1 0.000 0.500 0.000 1
Be2 0.000 0.000 0.500 1
Be3 0.500 0.000 0.000 1
Rh1 0.500 0.500 0.500 1
Sn1 0.000 0.000 0.000 1
```


A relaxed structure of BeSn3Rh, computed with PBE.

**ΔE to the lowest computed polymorph**: 0.37 eV per formula unit
**Total magnetic moment**: 0.0 μB per formula unit
**Crystal system**: cubic

Cell and atoms, written as CIF:
```
data_BeSn3Rh
_symmetry_space_group_name_H-M 'P 1'
_symmetry_Int_Tables_number 1
_cell_length_a 4.777
_cell_length_b 4.777
_cell_length_c 4.777
_cell_angle_alpha 90.00
_cell_angle_beta 90.00
_cell_angle_gamma 90.00
loop_
_symmetry_equiv_pos_as_xyz
'x,y,z'
loop_
_atom_site_label
_atom_site_fract_x
_atom_site_fract_y
_atom_site_fract_z
_atom_site_occupancy
Be1 0.000 0.000 0.000 1
Rh1 0.500 0.500 0.500 1
Sn1 0.000 0.500 0.000 1
Sn2 0.000 0.000 0.500 1
Sn3 0.500 0.000 0.000 1
```


A relaxed structure of Be4SnRh, computed with PBE.

**Total magnetic moment**: 0.0 μB per formula unit
**Crystal system**: cubic

Cell and atoms, written as CIF:
```
data_Be4SnRh
_symmetry_space_group_name_H-M 'P 1'
_symmetry_Int_Tables_number 1
_cell_length_a 4.541
_cell_length_b 4.541
_cell_length_c 4.541
_cell_angle_alpha 60.00
_cell_angle_beta 60.00
_cell_angle_gamma 60.00
loop_
_symmetry_equiv_pos_as_xyz
'x,y,z'
loop_
_atom_site_label
_atom_site_fract_x
_atom_site_fract_y
_atom_site_fract_z
_atom_site_occupancy
Be1 0.627 0.627 0.118 1
Be2 0.627 0.118 0.627 1
Be3 0.627 0.627 0.627 1
Be4 0.118 0.627 0.627 1
Rh1 0.000 0.000 0.000 1
Sn1 0.250 0.250 0.250 1
```


A relaxed structure of BeSn3Rh, computed with PBE.

**ΔE to the lowest computed polymorph**: 0.00 eV per formula unit
**Total magnetic moment**: 0.0 μB per formula unit
**Crystal system**: cubic

Cell and atoms, written as CIF:
```
data_BeSn3Rh
_symmetry_space_group_name_H-M 'P 1'
_symmetry_Int_Tables_number 1
_cell_length_a 5.114
_cell_length_b 5.114
_cell_length_c 5.114
_cell_angle_alpha 90.00
_cell_angle_beta 90.00
_cell_angle_gamma 90.00
loop_
_symmetry_equiv_pos_as_xyz
'x,y,z'
loop_
_atom_site_label
_atom_site_fract_x
_atom_site_fract_y
_atom_site_fract_z
_atom_site_occupancy
Be1 0.500 0.500 0.500 1
Rh1 0.000 0.000 0.000 1
Sn1 0.000 0.500 0.000 1
Sn2 0.000 0.000 0.500 1
Sn3 0.500 0.000 0.000 1
```


A relaxed structure of BeSn2Rh2, computed with PBE.

**ΔE to the lowest computed polymorph**: 0.00 eV per formula unit
**Total magnetic moment**: 0.0 μB per formula unit
**Crystal system**: tetragonal

Cell and atoms, written as CIF:
```
data_BeSn2Rh2
_symmetry_space_group_name_H-M 'P 1'
_symmetry_Int_Tables_number 1
_cell_length_a 6.405
_cell_length_b 6.405
_cell_length_c 4.079
_cell_angle_alpha 90.00
_cell_angle_beta 90.00
_cell_angle_gamma 90.00
loop_
_symmetry_equiv_pos_as_xyz
'x,y,z'
loop_
_atom_site_label
_atom_site_fract_x
_atom_site_fract_y
_atom_site_fract_z
_atom_site_occupancy
Be1 0.000 0.000 0.000 1
Be2 0.500 0.500 0.000 1
Rh1 0.342 0.842 0.000 1
Rh2 0.842 0.658 0.000 1
Rh3 0.658 0.158 0.000 1
Rh4 0.158 0.342 0.000 1
Sn1 0.160 0.660 0.500 1
Sn2 0.660 0.840 0.500 1
Sn3 0.840 0.340 0.500 1
Sn4 0.340 0.160 0.500 1
```


A relaxed structure of BeSnRh3, computed with PBE.

**ΔE to the lowest computed polymorph**: 7.91 eV per formula unit
**Total magnetic moment**: 0.9 μB per formula unit
**Crystal system**: cubic

Cell and atoms, written as CIF:
```
data_BeSnRh3
_symmetry_space_group_name_H-M 'P 1'
_symmetry_Int_Tables_number 1
_cell_length_a 4.810
_cell_length_b 4.810
_cell_length_c 4.810
_cell_angle_alpha 90.00
_cell_angle_beta 90.00
_cell_angle_gamma 90.00
loop_
_symmetry_equiv_pos_as_xyz
'x,y,z'
loop_
_atom_site_label
_atom_site_fract_x
_atom_site_fract_y
_atom_site_fract_z
_atom_site_occupancy
Be1 0.500 0.500 0.500 1
Rh1 0.000 0.500 0.000 1
Rh2 0.000 0.000 0.500 1
Rh3 0.500 0.000 0.000 1
Sn1 0.000 0.000 0.000 1
```


Calculated uncorrected energy in order - -21.05; -30.84; -15.69; -20.20; -27.24; -20.58; -27.79; -22.93 eV/f.u.